Density functional theory data (PBE with a Hubbard U) for an optimized crystal structure of NaErCr2O8.

For the volume, the calculation gives 13.5 Å³ per atom. The calculation puts the total magnetic moment at 0.00 μB/f.u. The final energy comes out at -6.910 eV per atom.

The space group is I-4m2 (No. 119) and the conventional cell measures 7.222, 7.222 and 6.206 Å, with angles of 90.00, 90.00 and 90.00 degrees. The distinct sites, in fractional coordinates, are Na at (0.000, 0.000, 0.000), Er at (0.000, 0.500, 0.250), Cr at (0.000, 0.000, 0.500), Cr at (0.000, 0.500, 0.750), O at (0.000, 0.188, 0.344) and O at (0.000, 0.322, 0.921).